Material: SrLaB
Method: DFT, PBE
State: relaxed

Theoretical density, g/cm³: 4.1
Calculated volume, Å³/cell: 192.1
D(E_F), states/eV/f.u.: 1.66
E above lowest polymorph, meV/atom: 100
Formation enthalpy at 0 K, eV per atom: 0.121

Cell lengths 3.759, 6.990, 7.824 Å; angles 88.81, 76.13, 74.45 degrees
Space group P1 (No. 1)
Symmetry-distinct sites (fractional):
Sr  0.000  0.000  0.000 (multiplicity 1)
Sr  0.355  0.514  0.774 (multiplicity 1)
La  0.109  0.515  0.267 (multiplicity 1)
La  0.784  0.966  0.467 (multiplicity 1)
B  0.478  0.805  0.240 (multiplicity 1)
B  0.636  0.670  0.057 (multiplicity 1)


Material: Cs5Tl4Pt4
Method: DFT, PBE
State: relaxed

Theoretical density, g/cm³: 6.2
Calculated volume, Å³/cell: 1205.4
D(E_F), states/eV/f.u.: 3.96
Formation enthalpy at 0 K, eV per atom: -0.147

Cell lengths 16.136, 16.136, 4.629 Å; angles 90.00, 90.00, 90.00 degrees
Space group I4/m (No. 87)
Symmetry-distinct sites (fractional):
Cs  0.000  0.000  0.000 (multiplicity 2)
Cs  0.058  0.710  0.500 (multiplicity 8)
Tl  0.125  0.204  0.000 (multiplicity 8)
Pt  0.204  0.257  0.500 (multiplicity 8)


Material: KAgTeI5
Method: DFT, PBE
State: relaxed

Theoretical density, g/cm³: 4.0
Calculated volume, Å³/cell: 1491.3
Calculated total energy, eV per atom: -2.308

Cell lengths 10.334, 12.707, 12.250 Å; angles 90.00, 112.03, 90.00 degrees
Space group C2/c (No. 15)
Symmetry-distinct sites (fractional):
K  0.000  0.079  0.250 (multiplicity 4)
Ag  0.000  0.461  0.250 (multiplicity 4)
Te  0.250  0.250  0.000 (multiplicity 4)
I  0.000  0.202  0.750 (multiplicity 4)
I  0.018  0.311  0.077 (multiplicity 8)
I  0.238  0.033  0.093 (multiplicity 8)